(1)
LiMnIr | PBE | optimized geometry

a b c (Å): 4.053 5.219 7.740
angles (deg): 90.00 90.00 90.00
Sites, in units of the cell vectors:
Mn (0.250, 0.395, 0.118)
Mn (0.750, 0.605, 0.882)
Mn (0.750, 0.105, 0.618)
Mn (0.250, 0.895, 0.382)
Ir (0.250, 0.838, 0.712)
Ir (0.750, 0.162, 0.288)
Ir (0.750, 0.662, 0.212)
Ir (0.250, 0.338, 0.788)
Li (0.250, 0.398, 0.451)
Li (0.750, 0.602, 0.549)
Li (0.750, 0.102, 0.951)
Li (0.250, 0.898, 0.049)

## Properties
The space-group type is Pnma. Its energy is -6.719 eV per atom. The calculation puts the density of states at the Fermi level at 0.72 states/eV per atom. The formation energy is -0.071 eV/atom.

---

(2)
LiZrAg | PBE | optimized geometry

a b c (Å): 3.232 3.232 10.892
angles (deg): 90.00 90.00 90.00
Sites, in units of the cell vectors:
Zr (0.000, 0.500, 0.597)
Zr (0.500, 0.000, 0.403)
Ag (0.000, 0.500, 0.215)
Ag (0.500, 0.000, 0.785)
Li (0.500, 0.000, 0.080)
Li (0.000, 0.500, 0.920)

## Properties
The space-group type is P4/nmm. Its energy is -4.562 eV per atom. The calculation puts the density of states at the Fermi level at 0.51 states/eV per atom. The formation energy is -0.124 eV/atom.

---

(3)
Pm3PtRh | PBE | optimized geometry

a b c (Å): 3.968 8.355 8.271
angles (deg): 107.70 90.00 90.00
Sites, in units of the cell vectors:
Pm (0.750, 0.636, 0.393)
Pm (0.250, 0.364, 0.607)
Pm (0.750, 0.315, 0.961)
Pm (0.250, 0.926, 0.745)
Pm (0.250, 0.685, 0.039)
Pm (0.750, 0.074, 0.255)
Pt (0.250, 0.345, 0.235)
Pt (0.750, 0.655, 0.765)
Rh (0.250, 0.895, 0.384)
Rh (0.750, 0.105, 0.616)

## Properties
The space-group type is P2_1/m. Its energy is -6.296 eV per atom. The calculation puts the density of states at the Fermi level at 0.65 states/eV per atom. The formation energy is -0.767 eV/atom.

---

(4)
PaCoGeRu | PBE | optimized geometry

a b c (Å): 3.675 4.762 4.251
angles (deg): 93.00 90.00 112.70
Sites, in units of the cell vectors:
Pa (0.562, 0.124, 0.277)
Co (0.302, 0.604, 0.313)
Ge (0.191, 0.383, 0.796)
Ru (0.899, 0.798, 0.853)

## Properties
The space-group type is Cm. Its energy is -7.952 eV per atom. The calculation puts the density of states at the Fermi level at 0.61 states/eV per atom. The formation energy is -0.328 eV/atom.

---

(5)
Zr2NbPt | PBE | optimized geometry

a b c (Å): 3.400 3.400 6.742
angles (deg): 90.00 90.00 90.00
Sites, in units of the cell vectors:
Nb (0.500, 0.500, 0.500)
Zr (0.000, 0.000, 0.754)
Zr (0.000, 0.000, 0.246)
Pt (0.500, 0.500, 0.000)

## Properties
The space-group type is P4/mmm. Its energy is -8.834 eV per atom. The calculation puts the density of states at the Fermi level at 0.81 states/eV per atom. The formation energy is -0.532 eV/atom.

---

(6)
CuSiMo2 | PBE | optimized geometry

a b c (Å): 2.675 2.675 8.010
angles (deg): 90.00 90.00 90.00
Sites, in units of the cell vectors:
Cu (0.500, 0.500, 0.731)
Mo (0.000, 0.000, 0.986)
Mo (0.500, 0.500, 0.270)
Si (0.000, 0.000, 0.513)

## Properties
The space-group type is P4mm. Its energy is -7.595 eV per atom. As for the formation energy (no corrections): 0.200 eV/atom. The calculation puts the density of states at the Fermi level at 0.86 states/eV per atom.

---

> Number 2 is which compound?

LiZrAg

---

> Among the records above, which one has the highest density of states at the Fermi level?

CuSiMo2

---

> What is the energy in the first record?

-6.719 eV per atom

---

> What is the energy in the second record?

-4.562 eV per atom